(1)
Below is an optimized crystal structure of Sm4B2Cl5, with properties calculated at the GGA-PBE level.

The calculation puts the uncorrected formation energy at -1.48 eV/atom. The calculation puts the energy relative to the lowest polymorph listed for this composition at 0 meV per atom.

It has space group C2/m (No. 12), with a = 20.751 Å, b = 3.879 Å, c = 7.869 Å, α = 90.00°, β = 95.35° and γ = 90.00°. The inequivalent atoms are Sm at (0.007, 0.000, 0.215), Sm at (0.155, 0.500, 0.065), B at (0.038, 0.500, 0.005), Cl at (0.000, 0.500, 0.500), Cl at (0.148, 0.000, 0.314) and Cl at (0.194, 0.000, 0.842).

(2)
Below is an optimized crystal structure of CaHo2Au3, with properties calculated at the GGA-PBE level.

For the energy of formation from the pure elements, the calculation gives -0.8395 eV per atom. The calculation puts the energy relative to the lowest polymorph listed for this composition at 14 meV per atom.

It has space group P-3m1 (No. 164), with a = 5.0680 Å, b = 5.0680 Å, c = 12.4986 Å, α = 90.00°, β = 90.00° and γ = 120.00°. The inequivalent atoms are Ca at (0.3333, 0.6667, 0.1672), Ho at (0.0000, 0.0000, 0.0000), Ho at (0.0000, 0.0000, 0.5000), Ho at (0.3333, 0.6667, 0.6692), Au at (0.0000, 0.0000, 0.2558), Au at (0.3333, 0.6667, 0.4263) and Au at (0.3333, 0.6667, 0.9186).

(3)
Below is an optimized crystal structure of Ac3Cd2Pd7, with properties calculated at the GGA-PBE level.

For the energy of formation from the pure elements, the calculation gives -0.6028 eV per atom. The calculation puts the energy relative to the lowest polymorph listed for this composition at 66 meV per atom.

It has space group P2/m (No. 10), with a = 4.383 Å, b = 4.288 Å, c = 14.803 Å, α = 90.00°, β = 98.48° and γ = 90.00°. The inequivalent atoms are Ac at (0.000, 0.000, 0.000), Ac at (0.315, 0.500, 0.628), Cd at (0.129, 0.000, 0.259), Pd at (0.074, 0.500, 0.145), Pd at (0.222, 0.000, 0.445), Pd at (0.427, 0.000, 0.853) and Pd at (0.500, 0.500, 0.000).

(4)
Below is an optimized crystal structure of DyTi2C, with properties calculated at the GGA-PBE level.

For the energy of formation from the pure elements, the calculation gives -0.2399 eV per atom.

It has space group R-3m (No. 166, hexagonal axes), with a = 3.1341 Å, b = 3.1341 Å, c = 25.2095 Å, α = 90.00°, β = 90.00° and γ = 120.00°. The inequivalent atoms are Dy at (0.0000, 0.0000, 0.0000), Ti at (0.0000, 0.0000, 0.1226) and C at (0.0000, 0.0000, 0.5000).

(5)
Below is an optimized crystal structure of Sc2AlReGe, with properties calculated at the GGA-PBE level.

For the energy of formation from the pure elements, the calculation gives 0.6721 eV per atom.

It has space group P4/mmm (No. 123), with a = 4.959 Å, b = 4.959 Å, c = 4.499 Å, α = 90.00°, β = 90.00° and γ = 90.00°. The inequivalent atoms are Sc at (0.000, 0.500, 0.000), Al at (0.000, 0.000, 0.000), Re at (0.000, 0.000, 0.500) and Ge at (0.500, 0.500, 0.500).

(6)
Below is an optimized crystal structure of Na6Li, with properties calculated at the GGA-PBE level.

For the energy of formation from the pure elements, the calculation gives 0.0817 eV per atom. The calculation puts the energy relative to the lowest polymorph listed for this composition at 46 meV per atom.

It has space group P4/mmm (No. 123), with a = 5.642 Å, b = 5.642 Å, c = 8.104 Å, α = 90.00°, β = 90.00° and γ = 90.00°. The inequivalent atoms are Na at (0.000, 0.000, 0.000), Na at (0.000, 0.500, 0.248), Na at (0.500, 0.500, 0.500) and Li at (0.000, 0.000, 0.500).

(7)
Below is an optimized crystal structure of AuSeBr2, with properties calculated at the GGA-PBE level.

The calculation puts the uncorrected formation energy at 0.21 eV/atom. The calculation puts the energy relative to the lowest polymorph listed for this composition at 253 meV per atom.

It has space group C2/m (No. 12), with a = 21.514 Å, b = 2.654 Å, c = 4.834 Å, α = 90.00°, β = 92.08° and γ = 90.00°. The inequivalent atoms are Au at (0.000, 0.000, 0.000), Se at (0.000, 0.500, 0.500) and Br at (0.166, 0.500, 0.742).

(8)
Below is an optimized crystal structure of PrThB, with properties calculated at the GGA-PBE level.

For the energy of formation from the pure elements, the calculation gives -0.1604 eV per atom.

It has space group Cmcm (No. 63), with a = 3.699 Å, b = 24.349 Å, c = 3.338 Å, α = 90.00°, β = 90.00° and γ = 90.00°. The inequivalent atoms are Pr at (0.000, 0.195, 0.250), Th at (0.000, 0.433, 0.250) and B at (0.000, 0.014, 0.250).

(9)
Below is an optimized crystal structure of ScHgPd2, with properties calculated at the GGA-PBE level.

For the energy of formation from the pure elements, the calculation gives -0.6448 eV per atom.

It has space group P4/mmm (No. 123), with a = 3.474 Å, b = 3.474 Å, c = 5.974 Å, α = 90.00°, β = 90.00° and γ = 90.00°. The inequivalent atoms are Sc at (0.000, 0.000, 0.000), Hg at (0.000, 0.000, 0.500) and Pd at (0.500, 0.500, 0.242).

(10)
Below is an optimized crystal structure of ZnInAu2, with properties calculated at the GGA-PBE level.

For the energy of formation from the pure elements, the calculation gives -0.1640 eV per atom.

It has space group P2_1/m (No. 11), with a = 5.485 Å, b = 4.083 Å, c = 7.550 Å, α = 90.00°, β = 111.24° and γ = 90.00°. The inequivalent atoms are Zn at (0.110, 0.250, 0.409), In at (0.272, 0.750, 0.098), Au at (0.173, 0.250, 0.800) and Au at (0.417, 0.750, 0.617).

(11)
Below is an optimized crystal structure of ErTm5, with properties calculated at the GGA-PBE level.

For the energy of formation from the pure elements, the calculation gives 0.0270 eV per atom. The calculation puts the energy relative to the lowest polymorph listed for this composition at 31 meV per atom.

It has space group P2_1/m (No. 11), with a = 6.044 Å, b = 10.420 Å, c = 6.046 Å, α = 90.00°, β = 109.48° and γ = 90.00°. The inequivalent atoms are Er at (0.001, 0.250, 0.250), Tm at (0.000, 0.083, 0.750), Tm at (0.500, 0.083, 0.250) and Tm at (0.500, 0.250, 0.750).

(12)
Below is an optimized crystal structure of Te2PtW, with properties calculated at the GGA-PBE level.

The calculation puts the uncorrected formation energy at 0.84 eV/atom. The calculation puts the energy relative to the lowest polymorph listed for this composition at 793 meV per atom.

It has space group R-3m (No. 166, hexagonal axes), with a = 3.5680 Å, b = 3.5680 Å, c = 25.9572 Å, α = 90.00°, β = 90.00° and γ = 120.00°. The inequivalent atoms are Te at (0.0000, 0.0000, 0.0994), Pt at (0.0000, 0.0000, 0.5000) and W at (0.0000, 0.0000, 0.0000).

no.,magnetization (μB per cell),total DFT energy (no corrections) (eV/atom)
1,0.00,-5.25
2,0.00,-4.34
3,0.00,-4.81
4,0.00,-7.64
5,0.00,-6.02
6,0.00,-1.32
7,0.00,-2.32
8,0.00,-6.45
9,0.00,-4.90
10,0.00,-2.81
11,0.00,-4.46
12,0.00,-5.48